*w*
5
Lattice="5.395 0.000 0.000 0.000 5.395 0.000 0.000 0.000 5.349" Properties=species:S:1:pos:R:3 comment="GGA-PBE YBiAsSe2, optimized geometry" magnetic_moment_mub_per_cell=0.00 pbc="T T T"
Y 0.000 0.000 0.000
Bi 2.698 2.698 2.674
As 2.698 2.698 0.000
Se 0.000 2.698 2.674
Se 2.698 0.000 2.674



*x*
5
Lattice="5.371 0.000 0.000 0.000 5.371 0.000 0.000 0.000 5.510" Properties=species:S:1:pos:R:3 comment="GGA-PBE YBiAsSe2, optimized geometry" magnetic_moment_mub_per_cell=0.00 pbc="T T T"
Y 0.000 0.000 0.000
Bi 2.685 2.685 2.755
As 0.000 0.000 2.755
Se 0.000 2.685 0.000
Se 2.685 0.000 0.000



*x* is the most stable structure; the next one sits 0.177 eV/atom above it.



*w*
5
Lattice="5.538 0.000 0.000 0.000 5.538 0.000 0.000 0.000 5.538" Properties=species:S:1:pos:R:3 comment="GGA-PBE ZnBiAs2Se, optimized geometry" magnetic_moment_mub_per_cell=1.79 pbc="T T T"
Zn 0.000 0.000 0.000
Bi 2.769 2.769 2.769
As 0.000 2.769 2.769
As 2.769 0.000 2.769
Se 2.769 2.769 0.000



*x*
5
Lattice="4.858 0.000 0.000 0.000 4.858 0.000 0.000 0.000 5.037" Properties=species:S:1:pos:R:3 comment="GGA-PBE ZnBiAs2Se, optimized geometry" magnetic_moment_mub_per_cell=0.00 pbc="T T T"
Zn 0.000 0.000 0.000
Bi 2.429 2.429 2.519
As 0.000 2.429 0.000
As 2.429 0.000 0.000
Se 0.000 0.000 2.519



*x* is the most stable structure; the next one sits 0.528 eV/atom above it.



*w*
5
Lattice="5.275 0.000 0.000 0.000 5.275 0.000 0.000 0.000 5.346" Properties=species:S:1:pos:R:3 comment="GGA-PBE ZrBiAs2Se, optimized geometry" magnetic_moment_mub_per_cell=0.00 pbc="T T T"
Zr 0.000 0.000 0.000
Bi 2.638 2.638 2.673
As 0.000 2.638 2.673
As 2.638 0.000 2.673
Se 2.638 2.638 0.000



*x*
5
Lattice="5.272 0.000 0.000 0.000 5.272 0.000 0.000 0.000 5.087" Properties=species:S:1:pos:R:3 comment="GGA-PBE ZrBiAs2Se, optimized geometry" magnetic_moment_mub_per_cell=0.00 pbc="T T T"
Zr 0.000 0.000 0.000
Bi 2.636 2.636 2.544
As 0.000 2.636 0.000
As 2.636 0.000 0.000
Se 0.000 0.000 2.544



*x* is the most stable structure; the next one sits 0.854 eV/atom above it.



*w*
10
Lattice="3.931 0.000 0.000 0.000 3.931 0.000 0.000 0.000 17.591" Properties=species:S:1:pos:R:3 comment="GGA-PBE SnBi2As2, optimized geometry" magnetic_moment_mub_per_cell=0.00 pbc="T T T"
Sn 0.000 0.000 0.000
Sn 1.966 1.966 8.795
Bi 0.000 0.000 7.016
Bi 0.000 0.000 10.575
Bi 1.966 1.966 1.780
Bi 1.966 1.966 15.811
As 0.000 1.966 4.398
As 0.000 1.966 13.193
As 1.966 0.000 4.398
As 1.966 0.000 13.193



*x*
10
Lattice="8.502 0.000 0.000 0.000 8.502 0.000 0.000 0.000 3.877" Properties=species:S:1:pos:R:3 comment="GGA-PBE SnBi2As2, optimized geometry" magnetic_moment_mub_per_cell=0.00 pbc="T T T"
Sn 0.000 0.000 0.000
Sn 4.251 4.251 0.000
Bi 1.260 2.991 0.000
Bi 2.991 7.242 0.000
Bi 5.511 1.260 0.000
Bi 7.242 5.511 0.000
As 1.534 5.785 1.938
As 2.717 1.534 1.938
As 5.785 6.968 1.938
As 6.968 2.717 1.938



*y*
10
Lattice="8.197 0.000 0.000 0.000 8.197 0.000 0.000 0.000 3.987" Properties=species:S:1:pos:R:3 comment="GGA-PBE SnBi2As2, optimized geometry" magnetic_moment_mub_per_cell=0.00 pbc="T T T"
Sn 0.000 0.000 0.000
Sn 4.098 4.098 0.000
Bi 1.279 2.819 1.993
Bi 2.819 6.918 1.993
Bi 5.377 1.279 1.993
Bi 6.918 5.377 1.993
As 1.304 5.403 0.000
As 2.794 1.304 0.000
As 5.403 6.893 0.000
As 6.893 2.794 0.000



*y* is the most stable structure; the next one sits 0.046 eV/atom above it.